DFT (PBE) results for a relaxed structure of Th2Ni4Pt. Values from VASP.

Values from the calculation:
- calculated density (Mg/m³) = 11.23
- crystal system = orthorhombic
- calculated total energy (eV/atom) = -6.623

Structure (Quantum ESPRESSO input):
```
&SYSTEM
  ibrav = 0, nat = 7, ntyp = 3
/
ATOMIC_SPECIES
Pt 195.08 Pt.upf
Ni 58.69 Ni.upf
Th 232.04 Th.upf
CELL_PARAMETERS angstrom
-1.714 4.010 3.388
-2.579 -3.646 3.248
5.757 -0.633 -0.957
ATOMIC_POSITIONS crystal
Pt 0.429 0.571 0.000
Ni 0.711 0.855 0.566
Ni 0.145 0.289 0.434
Th 0.178 0.822 0.500
Ni 0.755 0.899 0.000
Ni 0.101 0.245 0.000
Th 0.678 0.322 0.500
```

***

DFT (PBE) results for a relaxed structure of Ga3Ag2Au2. Values from VASP.

Values from the calculation:
- calculated density (Mg/m³) = 10.31
- crystal system = monoclinic
- calculated total energy (eV/atom) = -3.136

Structure (Quantum ESPRESSO input):
```
&SYSTEM
  ibrav = 0, nat = 7, ntyp = 3
/
ATOMIC_SPECIES
Ag 107.87 Ag.upf
Ga 69.72 Ga.upf
Au 196.97 Au.upf
CELL_PARAMETERS angstrom
4.251 0.000 0.000
-2.126 4.855 -0.005
0.000 -2.236 6.393
ATOMIC_POSITIONS crystal
Ag 0.814 0.628 0.170
Ga 0.374 0.747 0.524
Ga 0.500 0.000 0.000
Ag 0.186 0.372 0.830
Au 0.120 0.240 0.227
Au 0.880 0.760 0.773
Ga 0.626 0.253 0.476
```

***

DFT (PBE) results for a relaxed structure of ZrIn3Pd12. Values from VASP.

Values from the calculation:
- calculated density (Mg/m³) = 10.79
- crystal system = tetragonal
- calculated total energy (eV/atom) = -5.485

Structure (Quantum ESPRESSO input):
```
&SYSTEM
  ibrav = 0, nat = 16, ntyp = 3
/
ATOMIC_SPECIES
Pd 106.42 Pd.upf
In 114.82 In.upf
Zr 91.22 Zr.upf
CELL_PARAMETERS angstrom
-0.610 -2.922 -2.718
3.987 -0.331 -0.539
0.668 -11.080 11.758
ATOMIC_POSITIONS crystal
Pd 0.500 0.000 0.877
Pd 0.000 0.500 0.877
Pd 0.000 0.500 0.375
Pd 0.000 0.500 0.123
Pd 0.500 0.500 0.500
In 0.000 0.000 0.748
In 0.000 0.000 0.500
Pd 0.500 0.000 0.375
Pd 0.500 0.000 0.625
Pd 0.500 0.000 0.123
In 0.000 0.000 0.252
Pd 0.500 0.500 0.000
Zr 0.000 0.000 0.000
Pd 0.500 0.500 0.752
Pd 0.000 0.500 0.625
Pd 0.500 0.500 0.248
```